Density functional theory data (GGA-PBE) for a geometry-optimized ZnPtSO structure.

Cell and atoms, written as CIF:
```
data_ZnPtSO
_chemical_formula_sum 'Zn4 Pt4 S4 O4'
_symmetry_space_group_name_H-M 'P c a 21'
_symmetry_Int_Tables_number 29
_cell_length_a 5.805
_cell_length_b 7.095
_cell_length_c 5.715
_cell_angle_alpha 90.00
_cell_angle_beta 90.00
_cell_angle_gamma 90.00
loop_
_symmetry_equiv_pos_as_xyz
'x,y,z'
'-x,-y,z+1/2'
'-x+1/2,y,z+1/2'
'x+1/2,-y,z'
loop_
_atom_site_label
_atom_site_type_symbol
_atom_site_fract_x
_atom_site_fract_y
_atom_site_fract_z
Zn1 Zn 0.121 0.086 0.000
Pt1 Pt 0.166 0.646 0.354
S1 S 0.055 0.360 0.512
O1 O 0.159 0.951 0.297
```

Total DFT energy (no corrections), eV/atom: -4.6693



Density functional theory data (GGA-PBE) for a geometry-optimized ZnPtSO structure.

Cell and atoms, written as CIF:
```
data_ZnPtSO
_chemical_formula_sum 'Zn8 Pt8 S8 O8'
_symmetry_space_group_name_H-M 'P b c a'
_symmetry_Int_Tables_number 61
_cell_length_a 6.079
_cell_length_b 13.299
_cell_length_c 6.499
_cell_angle_alpha 90.00
_cell_angle_beta 90.00
_cell_angle_gamma 90.00
loop_
_symmetry_equiv_pos_as_xyz
'x,y,z'
'-x,-y,-z'
'-x+1/2,-y,z+1/2'
'x+1/2,y,-z+1/2'
'x+1/2,-y+1/2,-z'
'-x+1/2,y+1/2,z'
'-x,y+1/2,-z+1/2'
'x,-y+1/2,z+1/2'
loop_
_atom_site_label
_atom_site_type_symbol
_atom_site_fract_x
_atom_site_fract_y
_atom_site_fract_z
Zn1 Zn 0.070 0.241 0.127
Pt1 Pt 0.250 0.053 0.014
S1 S 0.000 0.011 0.751
O1 O 0.249 0.243 0.377
```

Total DFT energy (no corrections), eV/atom: -4.6653



Density functional theory data (GGA-PBE) for a geometry-optimized ZnPtSO structure.

Cell and atoms, written as CIF:
```
data_ZnPtSO
_chemical_formula_sum 'Zn8 Pt8 S8 O8'
_symmetry_space_group_name_H-M 'P b c a'
_symmetry_Int_Tables_number 61
_cell_length_a 7.174
_cell_length_b 8.867
_cell_length_c 7.542
_cell_angle_alpha 90.00
_cell_angle_beta 90.00
_cell_angle_gamma 90.00
loop_
_symmetry_equiv_pos_as_xyz
'x,y,z'
'-x,-y,-z'
'-x+1/2,-y,z+1/2'
'x+1/2,y,-z+1/2'
'x+1/2,-y+1/2,-z'
'-x+1/2,y+1/2,z'
'-x,y+1/2,-z+1/2'
'x,-y+1/2,z+1/2'
loop_
_atom_site_label
_atom_site_type_symbol
_atom_site_fract_x
_atom_site_fract_y
_atom_site_fract_z
Zn1 Zn 0.239 0.074 0.010
Pt1 Pt 0.017 0.211 0.762
S1 S 0.085 0.033 0.285
O1 O 0.238 0.714 0.610
```

Total DFT energy (no corrections), eV/atom: -4.5448